Density functional theory data (PBE-GGA) for crystalline PmMg2CuGe2 at its relaxed geometry.

Cell lengths 5.2487, 5.2487, 6.4624 Å; angles 113.96, 113.96, 90.00 degrees
Last column: nearest neighbours and their distance in Å.
Element x y z (fractional)
Pm  0.5000  0.5000  0.0000  2 Ge 3.03
Mg  0.2500  0.7500  0.5000  4 Ge 2.65
Mg  0.7500  0.2500  0.5000  4 Ge 2.65
Cu  0.0000  0.0000  0.0000  2 Ge 2.26
Ge  0.7864  0.7864  0.5728  1 Cu 2.26
Ge  0.2136  0.2136  0.4272  1 Cu 2.26

Calculated values
Size of the total moment in μB per cell: 0.0
Energy of formation in meV/atom: 25



Density functional theory data (PBE-GGA) for crystalline K2TcAg at its relaxed geometry.

Cell lengths 4.4475, 4.4475, 5.5101 Å; angles 90.00, 90.00, 90.00 degrees
Last column: nearest neighbours and their distance in Å.
Element x y z (fractional)
Ag  0.0000  0.5000  0.5000  4 Tc 3.14
K  0.0000  0.0000  0.0000  4 K 3.14
K  0.5000  0.5000  0.0000  4 K 3.14
Tc  0.5000  0.0000  0.5000  4 Ag 3.14

Calculated values
Size of the total moment in μB per cell: 2.9
Excess energy over the best structure of this formula in the dataset in meV/atom: 303.3
Energy of formation in meV/atom: 1143



Density functional theory data (PBE-GGA) for crystalline Mg5HIr4 at its relaxed geometry.

Cell lengths 5.0931, 4.4660, 7.9508 Å; angles 90.00, 101.83, 64.00 degrees
Last column: nearest neighbours and their distance in Å.
Element x y z (fractional)
Mg  0.9148  0.7040  0.2649  1 H 2.33
Mg  0.6493  0.3367  0.0558  3 Ir 2.59-2.77, 2 Mg 2.88
Mg  0.0677  0.6275  0.6331  5 Ir 2.66-2.71, 2 Mg 2.85-2.93
Mg  0.5196  0.9016  0.7752  3 Ir 2.63-2.72
Mg  0.5625  0.3801  0.4558  2 H 2.38, 1 Ir 2.66
H  0.4644  0.9292  0.3547  2 Ir 1.75-1.82
Ir  0.0686  0.6271  0.9674  4 Mg 2.59-2.66, 4 Ir 2.63-2.66
Ir  0.2704  0.0262  0.1376  1 H 1.75
Ir  0.1446  0.0891  0.4560  1 H 1.82
Ir  0.9462  0.1883  0.7900  3 Ir 2.63-2.82, 5 Mg 2.65-2.83

Calculated values
Size of the total moment in μB per cell: 0.0
Excess energy over the best structure of this formula in the dataset in meV/atom: 44.6



Density functional theory data (PBE-GGA) for crystalline CuAgH2Pd at its relaxed geometry.

Cell lengths 2.8919, 5.0511, 8.6507 Å; angles 123.60, 90.00, 90.00 degrees
Last column: nearest neighbours and their distance in Å.
Element x y z (fractional)
Cu  0.2500  0.5623  0.6428  2 H 1.80
Cu  0.7500  0.4377  0.3572  2 H 1.80
Ag  0.2500  0.9485  0.3420  3 H 2.17-2.34
Ag  0.7500  0.0515  0.6580  3 H 2.17-2.34
H  0.7500  0.7756  0.7806  1 Pd 1.77, 2 Cu 1.80
H  0.2500  0.2244  0.2194  1 Pd 1.77, 2 Cu 1.80
H  0.7500  0.5615  0.1190  3 Pd 1.85-1.89
H  0.2500  0.4385  0.8810  3 Pd 1.85-1.89
Pd  0.2500  0.2871  0.0379  4 H 1.77-1.89
Pd  0.7500  0.7129  0.9621  4 H 1.77-1.89

Calculated values
Size of the total moment in μB per cell: 0.0



| no. | energy (eV per cell) |
| --- | --- |
| 1 | -21.118 |
| 2 | -10.838 |
| 3 | -49.325 |
| 4 | -37.098 |